A plane-wave DFT calculation with GGA+U was carried out for an optimized crystal structure of PuCrNi2O8.

abc: 6.4267 6.6995 6.2026
angles: 90.00 90.00 90.00
Space group Cmmm (No. 65)
One atom of each set of equivalent atoms:
Pu  0.0000  0.0000  0.0000 (multiplicity 2)
Cr  0.0000  0.0000  0.5000 (multiplicity 2)
Ni  0.0000  0.5000  0.2628 (multiplicity 4)
O  0.0000  0.1926  0.2588 (multiplicity 8)
O  0.1974  0.5000  0.0000 (multiplicity 4)
O  0.2202  0.5000  0.5000 (multiplicity 4)

Results
* calculated total energy: -85.09 eV per formula unit